(1)
! Cr3TeSe PBE relaxed; values from VASP
&SYSTEM
  ibrav = 0, nat = 5, ntyp = 3
/
ATOMIC_SPECIES
Cr 52.00 Cr.upf
Te 127.60 Te.upf
Se 78.96 Se.upf
CELL_PARAMETERS angstrom
4.724 0.000 0.000
0.000 4.724 0.000
0.000 0.000 4.724
ATOMIC_POSITIONS crystal
Cr 0.000 0.000 0.500
Cr 0.000 0.500 0.000
Cr 0.500 0.000 0.000
Te 0.000 0.000 0.000
Se 0.500 0.500 0.500
! Raw formation energy   1.786 eV per atom
! Fermi-level density of states   2.01 states/eV per atom
! ρ   5.7 Mg/m³
! Total magnetic moment   0.0 Bohr magnetons per cell
! Space group   No. 221
! Energy relative to the lowest polymorph listed for this composition   1.242 eV/atom

***

(2)
! Mg3MnAu4 PBE relaxed; values from VASP
&SYSTEM
  ibrav = 0, nat = 8, ntyp = 3
/
ATOMIC_SPECIES
Mg 24.30 Mg.upf
Mn 54.94 Mn.upf
Au 196.97 Au.upf
CELL_PARAMETERS angstrom
3.304 0.000 0.000
0.000 3.304 0.000
0.000 0.000 12.947
ATOMIC_POSITIONS crystal
Mg 0.000 0.000 0.000
Mg 0.000 0.000 0.254
Mg 0.000 0.000 0.746
Mn 0.000 0.000 0.500
Au 0.500 0.500 0.127
Au 0.500 0.500 0.382
Au 0.500 0.500 0.618
Au 0.500 0.500 0.873
! Fermi-level density of states   0.41 states/eV per atom
! E_form   -0.457 eV/atom
! ρ   10.8 Mg/m³
! Total magnetic moment   4.0 Bohr magnetons per cell
! Space group   No. 123

***

Across the entries above, DFT total energy takes the values -5.3133; -3.8396 eV per atom, respectively.